MnBiPd3 | PBE | relaxed

Results
Total magnetization = 2.724 Bohr magnetons per cell
Density = 11065 kg/m³
Space-group type = C2/m (12)
Energy of formation = 0.06 eV per atom
Electronic total energy = -5.67 eV per atom
Distance to the lowest polymorph of the same formula = 0.000 eV/atom

abc: 6.800 6.800 6.642
angles: 111.39 111.39 38.16
Sites, in units of the cell vectors:
Mn  0.030  0.030  0.160
Mn  0.970  0.970  0.840
Bi  0.341  0.341  0.937
Bi  0.659  0.659  0.063
Pd  0.111  0.111  0.640
Pd  0.246  0.246  0.361
Pd  0.467  0.467  0.664
Pd  0.533  0.533  0.336
Pd  0.754  0.754  0.639
Pd  0.889  0.889  0.360